ZnAuNO | PBE-GGA | relaxed

Cell: 4.088 4.088 6.662 Å, 90.00 90.00 90.00°
Space group P4/nmm (No. 129, origin choice 2)
Inequivalent atoms, fractional coordinates:
1 Zn 0.250 0.750 0.000
2 Au 0.250 0.250 0.378
3 N 0.250 0.250 0.040
4 O 0.250 0.750 0.500

Properties
density = 8.722 g cm⁻³
energy above the lowest structure with this stoichiometry = 36.70 kJ/mol of atoms